(1)
A plane-wave DFT calculation with GGA-PBE was carried out for an optimized crystal structure of LaSbS2.

```
4
Lattice="2.0305 1.1723 8.5524 -2.0305 1.1723 8.5524 0.0000 -2.3446 8.5524" Properties=species:S:1:pos:R:3 pbc="T T T"
La 0.0000 0.0000 0.0000
Sb 0.0000 0.0000 12.8286
S 0.0000 0.0000 2.8173
S 0.0000 0.0000 22.8399
```

Calculated values
For the uncorrected formation energy, the calculation gives -44 kJ per mole of atoms. The total magnetization comes out at 0.000 Bohr magnetons per cell. As for the calculated total energy: -4.783 eV/atom.

(2)
A plane-wave DFT calculation with GGA-PBE was carried out for an optimized crystal structure of La2SbS6.

```
18
Lattice="5.8928 0.0000 0.0000 0.0000 7.7072 0.0000 -5.6713 0.0000 9.4217" Properties=species:S:1:pos:R:3 pbc="T T T"
La -0.3234 0.8393 2.4582
La -3.1591 3.0143 7.1691
La 3.3806 4.6929 2.2527
La 0.5449 6.8679 6.9635
Sb 2.9464 0.0000 0.0000
Sb 0.1107 3.8536 4.7109
S -4.8453 1.2962 9.0256
S -2.0097 2.5574 4.3148
S -3.7206 5.3752 9.0566
S -0.8849 6.1856 4.3457
S -2.2922 0.1904 6.9812
S 0.5434 3.6633 2.2703
S -0.3220 4.0440 7.1514
S 2.5137 7.5169 2.4405
S 1.1064 1.5216 5.0760
S 3.9421 2.3320 0.3652
S 2.2311 5.1498 5.1069
S 5.0668 6.4110 0.3961
```

Calculated values
For the uncorrected formation energy, the calculation gives -111 kJ per mole of atoms. The total magnetization comes out at 0.000 Bohr magnetons per cell. As for the calculated total energy: -5.453 eV/atom.